No. 1
A plane-wave DFT calculation with PBE was carried out for crystalline CaAcInPb at its relaxed geometry.

abc: 4.6753 5.2740 5.3135
angles: 90.00 90.00 90.00
Space group Pmmm (No. 47)
Symmetry-distinct sites (fractional):
1 Ca 0.0000 0.0000 0.0000 (multiplicity 1)
2 Ac 0.0000 0.5000 0.5000 (multiplicity 1)
3 In 0.5000 0.5000 0.0000 (multiplicity 1)
4 Pb 0.5000 0.0000 0.5000 (multiplicity 1)

Output
spin magnetization	0.00	μB/cell
E_form	-0.467	eV/atom
excess energy over the best structure of this formula in the dataset	0	kJ/mol of formula units

=====

No. 2
A plane-wave DFT calculation with PBE was carried out for crystalline ReTe3 at its relaxed geometry.

abc: 8.7914 8.7914 6.5729
angles: 90.00 90.00 120.00
Space group P6_3/mmc (No. 194)
Symmetry-distinct sites (fractional):
1 Re 0.0000 0.0000 0.0000 (multiplicity 2)
2 Re 0.3333 0.6667 0.2500 (multiplicity 2)
3 Te 0.0000 0.5000 0.0000 (multiplicity 6)
4 Te 0.1380 0.2761 0.7500 (multiplicity 6)

Output
spin magnetization	5.68	μB/cell
excess energy over the best structure of this formula in the dataset	193	kJ/mol of formula units
raw formation energy	16.3	kcal/mol of atoms

=====

No. 3
A plane-wave DFT calculation with PBE was carried out for crystalline La3Pr8Mg4 at its relaxed geometry.

abc: 13.5710 12.6438 6.7628
angles: 90.00 118.16 90.00
Space group C2/m (No. 12)
Symmetry-distinct sites (fractional):
1 La 0.0000 0.0000 0.0000 (multiplicity 2)
2 La 0.2500 0.2500 0.5000 (multiplicity 4)
3 Pr 0.0000 0.2523 0.0000 (multiplicity 4)
4 Pr 0.0000 0.2873 0.5000 (multiplicity 4)
5 Pr 0.1947 0.5000 0.5158 (multiplicity 4)
6 Pr 0.2501 0.0000 0.9506 (multiplicity 4)
7 Mg 0.0000 0.0000 0.5000 (multiplicity 2)
8 Mg 0.0000 0.5000 0.0000 (multiplicity 2)
9 Mg 0.2500 0.2500 0.0000 (multiplicity 4)

Output
spin magnetization	0.12	μB/cell
E_form	0.238	eV/atom